# 1
Material: Mo3RhCl
Method: DFT, PBE-GGA
State: optimized geometry

Structure (POSCAR):
```
Mo3RhCl
1.0
-0.270 -4.741 0.635
2.607 -0.679 -3.963
4.011 0.122 2.618
Mo Rh Cl
3 1 1
direct
0.000 0.500 0.000
0.000 0.000 0.500
0.500 0.000 0.000
0.000 0.000 0.000
0.500 0.500 0.500
```

* E_tot: -6.45 eV per atom
* distance to the lowest polymorph of the same formula: 0.816 eV per atom

***

# 2
Material: Mo3RhCl
Method: DFT, PBE-GGA
State: optimized geometry

Structure (POSCAR):
```
Mo3RhCl
1.0
4.365 0.000 0.000
0.000 4.365 0.000
0.000 0.000 4.365
Mo Rh Cl
3 1 1
direct
0.000 0.500 0.000
0.000 0.000 0.500
0.500 0.000 0.000
0.500 0.500 0.500
0.000 0.000 0.000
```

* E_tot: -7.27 eV per atom
* distance to the lowest polymorph of the same formula: 0.000 eV per atom

***

# 3
Material: MoRh2Cl
Method: DFT, PBE-GGA
State: optimized geometry

Structure (POSCAR):
```
MoRh2Cl
1.0
-1.162 0.510 4.204
-4.176 -0.878 -1.036
3.177 -2.833 -1.078
Cl Mo Rh
1 1 2
direct
0.500 0.500 0.000
0.750 0.250 0.500
0.000 0.000 0.000
0.250 0.750 0.500
```

* E_tot: -6.31 eV per atom
* distance to the lowest polymorph of the same formula: 0.472 eV per atom